Here is a relaxed structure of Ni5TeSe8 from the Alexandria database. Energies are from GGA-PBE.

Values from the calculation:
- formation energy without anion corrections (eV/atom) = -0.21
- magnetic moment (μB per formula unit) = 0.00
- density of states at the Fermi level (states/eV per cell) = 8.84
- raw total energy (eV/atom) = -4.490

a = 3.6047 Å, b = 8.2131 Å, c = 9.5133 Å
α = 104.33°, β = 100.92°, γ = 90.00°
Fractional positions:
Ni  0.2995  0.6719  0.5989
Ni  0.7018  0.3263  0.4037
Ni  0.3377  0.0115  0.6754
Ni  0.6615  0.9896  0.3231
Ni  0.9995  0.9907  0.9991
Te  0.5004  0.5541  0.0009
Se  0.2368  0.1558  0.4736
Se  0.7619  0.8514  0.5238
Se  0.1764  0.4944  0.3527
Se  0.8246  0.5023  0.6493
Se  0.0877  0.8197  0.1755
Se  0.9108  0.1547  0.8217
Se  0.4304  0.8265  0.8607
Se  0.5708  0.1514  0.1416